(1)
First-principles (PBE) data for crystalline AlNi2As at its relaxed geometry, as listed in Alexandria via LeMat-Bulk.

a b c (Å): 3.654 3.654 4.912
angles (deg): 90.00 90.00 120.00
Sites, in units of the cell vectors:
Ni 0.667 0.333 0.754
Ni 0.667 0.333 0.246
As 0.000 0.000 0.000
Al 0.333 0.667 0.500

Output
VASP energy (eV/atom): -5.3444
Space group: P-6m2, No. 187
Density of states at the Fermi level (states/eV/f.u.): 2.46

(2)
First-principles (PBE) data for crystalline AlNi2As at its relaxed geometry, as listed in Alexandria via LeMat-Bulk.

a b c (Å): 3.925 3.920 3.329
angles (deg): 90.00 90.00 90.00
Sites, in units of the cell vectors:
Ni 0.000 0.000 0.000
Ni 0.500 0.500 0.000
As 0.000 0.500 0.500
Al 0.500 0.000 0.500

Output
VASP energy (eV/atom): -5.2598
Space group: P4/mmm, No. 123
Density of states at the Fermi level (states/eV/f.u.): 2.32

(3)
First-principles (PBE) data for crystalline Al2NiAs at its relaxed geometry, as listed in Alexandria via LeMat-Bulk.

a b c (Å): 3.855 3.612 4.800
angles (deg): 68.01 90.00 90.00
Sites, in units of the cell vectors:
Ni 0.500 0.542 0.787
As 0.000 0.703 0.471
Al 0.000 0.984 0.909
Al 0.500 0.271 0.333

Output
VASP energy (eV/atom): -4.7023
Space group: Pm, No. 6
Density of states at the Fermi level (states/eV/f.u.): 0.48

(4)
First-principles (PBE) data for crystalline AlNiAs2 at its relaxed geometry, as listed in Alexandria via LeMat-Bulk.

a b c (Å): 4.402 4.402 4.049
angles (deg): 73.66 73.66 104.72
Sites, in units of the cell vectors:
Ni 0.500 0.000 0.500
As 0.000 0.000 0.000
As 0.500 0.500 0.000
Al 0.000 0.500 0.500

Output
VASP energy (eV/atom): -4.6597
Space group: C2/m, No. 12
Density of states at the Fermi level (states/eV/f.u.): 1.66

(5)
First-principles (PBE) data for crystalline AlNiAs2 at its relaxed geometry, as listed in Alexandria via LeMat-Bulk.

a b c (Å): 3.719 4.442 4.435
angles (deg): 69.81 90.00 90.00
Sites, in units of the cell vectors:
Ni 0.500 0.250 0.250
As 0.000 0.048 0.047
As 0.000 0.452 0.453
Al 0.500 0.750 0.750

Output
VASP energy (eV/atom): -4.7717
Space group: Cmmm, No. 65
Density of states at the Fermi level (states/eV/f.u.): 1.04

(6)
First-principles (PBE) data for crystalline Al2NiAs at its relaxed geometry, as listed in Alexandria via LeMat-Bulk.

a b c (Å): 4.275 4.275 5.402
angles (deg): 77.16 77.16 40.75
Sites, in units of the cell vectors:
Ni 0.250 0.250 0.250
As 0.750 0.750 0.750
Al 0.987 0.987 0.050
Al 0.513 0.513 0.450

Output
VASP energy (eV/atom): -4.5636
Space group: C2/m, No. 12
Density of states at the Fermi level (states/eV/f.u.): 1.45

(7)
First-principles (PBE) data for crystalline AlNi6As at its relaxed geometry, as listed in Alexandria via LeMat-Bulk.

a b c (Å): 3.573 5.054 5.054
angles (deg): 89.96 90.00 90.00
Sites, in units of the cell vectors:
Al 0.500 0.500 0.500
Ni 0.000 0.749 0.251
Ni 0.000 0.251 0.749
Ni 0.000 0.748 0.748
Ni 0.000 0.252 0.252
Ni 0.500 0.500 0.000
Ni 0.500 0.000 0.500
As 0.500 0.000 0.000

Output
VASP energy (eV/atom): -5.7053
Space group: P4/mmm, No. 123
Offset from the most stable computed form (meV per atom): 0
Density of states at the Fermi level (states/eV/f.u.): 6.97

(8)
First-principles (PBE) data for crystalline AlNiAs2 at its relaxed geometry, as listed in Alexandria via LeMat-Bulk.

a b c (Å): 4.770 4.770 4.770
angles (deg): 135.72 117.66 79.62
Sites, in units of the cell vectors:
Ni 0.750 0.250 0.500
As 0.983 0.983 0.000
As 0.517 0.517 0.000
Al 0.250 0.750 0.500

Output
VASP energy (eV/atom): -4.5774
Space group: Immm, No. 71
Density of states at the Fermi level (states/eV/f.u.): 2.14

(9)
First-principles (PBE) data for crystalline Al2NiAs at its relaxed geometry, as listed in Alexandria via LeMat-Bulk.

a b c (Å): 4.484 4.484 5.780
angles (deg): 68.68 68.68 37.57
Sites, in units of the cell vectors:
Ni 0.219 0.219 0.129
As 0.571 0.571 0.501
Al 0.949 0.949 0.102
Al 0.761 0.761 0.768

Output
VASP energy (eV/atom): -4.6897
Space group: Cm, No. 8
Density of states at the Fermi level (states/eV/f.u.): 1.25

(10)
First-principles (PBE) data for crystalline AlNi2As at its relaxed geometry, as listed in Alexandria via LeMat-Bulk.

a b c (Å): 4.224 4.224 4.224
angles (deg): 60.00 60.00 60.00
Sites, in units of the cell vectors:
Ni 0.000 0.000 0.000
Ni 0.250 0.250 0.250
As 0.750 0.750 0.750
Al 0.500 0.500 0.500

Output
VASP energy (eV/atom): -4.9944
Space group: F-43m, No. 216
Density of states at the Fermi level (states/eV/f.u.): 3.34

(11)
First-principles (PBE) data for crystalline Al2NiAs at its relaxed geometry, as listed in Alexandria via LeMat-Bulk.

a b c (Å): 2.860 2.832 7.622
angles (deg): 90.00 90.00 90.00
Sites, in units of the cell vectors:
Ni 0.500 0.750 0.750
As 0.500 0.250 0.250
Al 0.000 0.250 0.943
Al 0.000 0.250 0.557

Output
VASP energy (eV/atom): -4.7825
Space group: Pmmm, No. 47
Density of states at the Fermi level (states/eV/f.u.): 1.56

(12)
First-principles (PBE) data for crystalline AlNiAs2 at its relaxed geometry, as listed in Alexandria via LeMat-Bulk.

a b c (Å): 5.287 5.287 7.062
angles (deg): 68.01 68.01 90.00
Sites, in units of the cell vectors:
Ni 0.000 0.000 0.000
Ni 0.750 0.250 0.500
As 0.660 0.125 0.250
As 0.090 0.625 0.250
As 0.375 0.340 0.750
As 0.875 0.910 0.750
Al 0.500 0.500 0.000
Al 0.250 0.750 0.500

Output
VASP energy (eV/atom): -4.8222
Space group: I-42d, No. 122
Density of states at the Fermi level (states/eV/f.u.): 2.23

(13)
First-principles (PBE) data for crystalline Al2NiAs at its relaxed geometry, as listed in Alexandria via LeMat-Bulk.

a b c (Å): 7.919 7.919 7.919
angles (deg): 22.25 22.25 22.25
Sites, in units of the cell vectors:
Ni 0.752 0.752 0.752
As 0.490 0.490 0.490
Al 0.009 0.009 0.009
Al 0.249 0.249 0.249

Output
VASP energy (eV/atom): -4.5669
Space group: R3m, No. 160
Density of states at the Fermi level (states/eV/f.u.): 0.84

(14)
First-principles (PBE) data for crystalline AlNi2As at its relaxed geometry, as listed in Alexandria via LeMat-Bulk.

a b c (Å): 3.815 3.815 8.344
angles (deg): 76.78 76.78 90.00
Sites, in units of the cell vectors:
Ni 0.641 0.125 0.250
Ni 0.109 0.625 0.250
Ni 0.375 0.359 0.750
Ni 0.875 0.891 0.750
As 0.000 0.000 0.000
As 0.750 0.250 0.500
Al 0.500 0.500 0.000
Al 0.250 0.750 0.500

Output
VASP energy (eV/atom): -5.1302
Space group: I-42d, No. 122
Density of states at the Fermi level (states/eV/f.u.): 1.36

(15)
First-principles (PBE) data for crystalline AlNi2As at its relaxed geometry, as listed in Alexandria via LeMat-Bulk.

a b c (Å): 4.167 4.167 4.728
angles (deg): 79.91 79.91 40.35
Sites, in units of the cell vectors:
Ni 0.997 0.997 0.004
Ni 0.503 0.503 0.496
As 0.750 0.750 0.750
Al 0.250 0.250 0.250

Output
VASP energy (eV/atom): -5.2354
Space group: C2/m, No. 12
Density of states at the Fermi level (states/eV/f.u.): 2.17

Calculated volume per entry: 57 51 62 67 69 63 91 65 65 53 62 167 62 115 52 Å³/cell